1.
12
Lattice="5.2163 -3.7659 0.0000 5.2163 3.7659 0.0000 -4.2212 0.0000 7.3806" Properties=species:S:1:pos:R:3 comment="KBaAlO3, optimized geometry, DFT PBE" e_form_raw_ev_per_atom=-2.281 magmom_total_mub_per_atom=0.00 pbc="T T T"
K 5.2163 1.9332 0.0000
K 5.2163 -1.9332 0.0000
Ba 0.9201 0.0000 3.2045
Ba 5.2914 0.0000 4.1761
Al -1.5263 0.0000 5.3916
Al 7.7378 0.0000 1.9890
O -3.1860 0.0000 5.8005
O -0.5804 1.4247 5.1436
O -0.5804 -1.4247 5.1436
O 6.7918 1.4247 2.2370
O 6.7918 -1.4247 2.2370
O 9.3974 0.0000 1.5801

2.
16
Lattice="7.8527 0.0000 0.0000 0.0000 7.8527 0.0000 0.0000 0.0000 6.3390" Properties=species:S:1:pos:R:3 comment="La2CuOs, optimized geometry, DFT PBE" magmom_total_mub_per_atom=0.00 ef_ev_per_fu=0.92 pbc="T T T"
La 1.7902 1.9632 0.7924
La 1.9632 5.7166 2.3771
La 1.9632 6.0625 5.5466
La 2.1361 1.9632 3.9619
La 5.7166 5.8895 3.9619
La 5.8895 1.7902 5.5466
La 5.8895 2.1361 2.3771
La 6.0625 5.8895 0.7924
Cu 0.0000 0.0000 3.1695
Cu 0.0000 3.9263 4.7543
Cu 3.9263 0.0000 1.5848
Cu 3.9263 3.9263 0.0000
Os 0.0000 0.0000 0.0000
Os 0.0000 3.9263 1.5848
Os 3.9263 0.0000 4.7543
Os 3.9263 3.9263 3.1695

3.
16
Lattice="1.7087 -5.8292 0.0000 1.7087 5.8292 0.0000 0.0000 0.0000 11.5778" Properties=species:S:1:pos:R:3 comment="CeDy2TcN4, optimized geometry, DFT PBE" e_form_raw_ev_per_atom=-1.110 magmom_total_mub_per_atom=0.00 pbc="T T T"
Ce 1.7087 4.5070 8.6834
Ce 1.7087 -4.5070 2.8945
Dy 1.7087 1.5257 6.2832
Dy 1.7087 1.5257 11.0835
Dy 1.7087 -1.5257 0.4943
Dy 1.7087 -1.5257 5.2946
Tc 1.7087 4.1452 2.8945
Tc 1.7087 -4.1452 8.6834
N 0.0000 0.0000 0.0000
N 0.0000 0.0000 5.7889
N 1.7087 2.7099 1.4995
N 1.7087 2.7099 4.2894
N 1.7087 0.5631 8.6834
N 1.7087 -0.5631 2.8945
N 1.7087 -2.7099 7.2884
N 1.7087 -2.7099 10.0783